Entry 1:
The following is a PBEsol calculation of an optimized crystal structure of Pt2Br, from the Alexandria database.

Cell and atoms, written as POSCAR:
```
Pt2Br
1.0
-1.681 1.692 5.106
1.681 -1.692 5.106
1.681 1.692 -5.106
Pt Br
2 1
direct
0.199 0.199 0.000 Pt
0.801 0.801 0.000 Pt
0.500 0.000 0.500 Br
```

Computed properties:
total moment = 0.000 μB/atom
volume = 58 Å³/cell
E_tot = -4.829 eV/atom

=====

Entry 2:
The following is a PBEsol calculation of an optimized crystal structure of PtBr, from the Alexandria database.

Cell and atoms, written as POSCAR:
```
PtBr
1.0
3.744 0.000 0.000
0.000 3.426 0.000
-1.867 0.000 6.417
Pt Br
2 2
direct
0.082 0.250 0.165 Pt
0.918 0.750 0.835 Pt
0.367 0.250 0.733 Br
0.633 0.750 0.267 Br
```

Computed properties:
total moment = 0.000 μB/atom
volume = 82 Å³/cell
E_tot = -3.956 eV/atom

=====

Entry 3:
The following is a PBEsol calculation of an optimized crystal structure of PtBr5, from the Alexandria database.

Cell and atoms, written as POSCAR:
```
PtBr5
1.0
1.815 -6.432 0.000
1.815 6.432 0.000
0.000 0.000 7.466
Pt Br
1 5
direct
0.000 0.000 0.000 Pt
0.166 0.834 0.500 Br
0.375 0.625 0.000 Br
0.500 0.500 0.500 Br
0.625 0.375 0.000 Br
0.834 0.166 0.500 Br
```

Computed properties:
total moment = 0.000 μB/atom
volume = 174 Å³/cell
E_tot = -2.683 eV/atom

=====

Entry 4:
The following is a PBEsol calculation of an optimized crystal structure of PtBr, from the Alexandria database.

Cell and atoms, written as POSCAR:
```
PtBr
1.0
1.850 1.068 7.494
-1.850 1.068 7.494
0.000 -2.136 7.494
Pt Br
2 2
direct
0.135 0.135 0.135 Pt
0.865 0.865 0.865 Pt
0.406 0.406 0.406 Br
0.594 0.594 0.594 Br
```

Computed properties:
total moment = 0.000 μB/atom
volume = 89 Å³/cell
E_tot = -4.577 eV/atom

=====

Entry 5:
The following is a PBEsol calculation of an optimized crystal structure of PtRhBr3, from the Alexandria database.

Cell and atoms, written as POSCAR:
```
PtRhBr3
1.0
4.879 0.000 0.000
0.000 4.879 0.000
0.000 0.000 4.879
Pt Rh Br
1 1 3
direct
0.000 0.000 0.000 Pt
0.500 0.500 0.500 Rh
0.000 0.500 0.500 Br
0.500 0.000 0.500 Br
0.500 0.500 0.000 Br
```

Computed properties:
total moment = 0.233 μB/atom
volume = 116 Å³/cell
E_tot = -3.363 eV/atom

=====

Entry 6:
The following is a PBEsol calculation of an optimized crystal structure of PtRh2SeBr, from the Alexandria database.

Cell and atoms, written as POSCAR:
```
PtRh2SeBr
1.0
4.445 0.000 0.000
0.000 4.445 0.000
0.000 0.000 5.113
Pt Rh Se Br
1 2 1 1
direct
0.000 0.000 0.000 Pt
0.000 0.500 0.500 Rh
0.500 0.000 0.500 Rh
0.500 0.500 0.500 Se
0.500 0.500 0.000 Br
```

Computed properties:
total moment = 0.154 μB/atom
volume = 101 Å³/cell
E_tot = -4.613 eV/atom

=====

Among the records above, which one has the lowest volume? Pt2Br